Crystalline TiTlIn3 at its relaxed geometry, computed with PBE-GGA. Values from VASP.

The structure in Quantum ESPRESSO input format:
```
&SYSTEM
  ibrav = 0, nat = 5, ntyp = 3
/
ATOMIC_SPECIES
Ti 47.87 Ti.upf
Tl 204.38 Tl.upf
In 114.82 In.upf
CELL_PARAMETERS angstrom
5.4290 0.0000 0.0000
0.0000 5.4290 0.0000
0.0000 0.0000 5.4290
ATOMIC_POSITIONS crystal
Ti 0.0000 0.0000 0.0000
Tl 0.5000 0.5000 0.5000
In 0.0000 0.0000 0.5000
In 0.0000 0.5000 0.0000
In 0.5000 0.0000 0.0000
```

- Raw total energy: -3.35 eV per atom
- Magnetization: 1.55 μB per formula unit
- SG: Pm-3m (221)